[1]
# La2GdGa

La2GdGa after structural relaxation (GGA-PBE, Alexandria via LeMat-Bulk).

Lattice parameters (Å, degrees): 3.8076 3.8076 8.6132 90.00 90.00 90.00
Positions (direct):
La: 0.0000 0.0000 0.2073
La: 0.0000 0.0000 0.7927
Gd: 0.5000 0.5000 0.5000
Ga: 0.5000 0.5000 0.0000

## Properties
Magnetic moment   8.1 μB per cell
DFT formation energy   -0.244 eV/atom
Fermi-level density of states   1.395 states/eV/atom

=====

[2]
# La2GdGa

La2GdGa after structural relaxation (GGA-PBE, Alexandria via LeMat-Bulk).

Lattice parameters (Å, degrees): 7.8150 7.8150 7.8150 90.00 90.00 90.00
Positions (direct):
La: 0.2500 0.2500 0.2500
La: 0.2500 0.2500 0.7500
La: 0.2500 0.7500 0.2500
La: 0.2500 0.7500 0.7500
La: 0.7500 0.2500 0.2500
La: 0.7500 0.2500 0.7500
La: 0.7500 0.7500 0.2500
La: 0.7500 0.7500 0.7500
Gd: 0.0000 0.0000 0.0000
Gd: 0.0000 0.5000 0.5000
Gd: 0.5000 0.0000 0.5000
Gd: 0.5000 0.5000 0.0000
Ga: 0.0000 0.0000 0.5000
Ga: 0.0000 0.5000 0.0000
Ga: 0.5000 0.0000 0.0000
Ga: 0.5000 0.5000 0.5000

## Properties
Magnetic moment   32.2 μB per cell
DFT formation energy   -0.144 eV/atom
Fermi-level density of states   1.546 states/eV/atom

=====

[3]
# LaGd2Ga

LaGd2Ga after structural relaxation (GGA-PBE, Alexandria via LeMat-Bulk).

Lattice parameters (Å, degrees): 3.5397 3.5397 35.6638 90.00 90.00 120.00
Positions (direct):
La: 0.0000 0.0000 0.0000
La: 0.3333 0.6667 0.6667
La: 0.6667 0.3333 0.3333
Gd: 0.0000 0.0000 0.4154
Gd: 0.0000 0.0000 0.5846
Gd: 0.3333 0.6667 0.0820
Gd: 0.3333 0.6667 0.2513
Gd: 0.6667 0.3333 0.7487
Gd: 0.6667 0.3333 0.9180
Ga: 0.0000 0.0000 0.5000
Ga: 0.3333 0.6667 0.1667
Ga: 0.6667 0.3333 0.8333

## Properties
Magnetic moment   44.7 μB per cell
DFT formation energy   0.163 eV/atom
Fermi-level density of states   1.056 states/eV/atom

=====

Question: The lowest magnetic moment belongs to which entry?
Answer: number 1

=====

Question: Look up the magnetic moment of the third one.
Answer: 44.7 μB per cell

=====

Question: The lowest DFT formation energy belongs to which entry?
Answer: number 1